Entry from Alexandria via LeMat-Bulk: crystalline Ba12H3Rh5 at its relaxed geometry (PBE).

Structure (CIF):
```
data_Ba12H3Rh5
_chemical_formula_sum 'Ba48 H12 Rh20'
_space_group_name_H-M_alt 'P 1'
_space_group_IT_number 1
_space_group_name_Hall 'P 1'
_cell_length_a 16.014
_cell_length_b 16.014
_cell_length_c 16.014
_cell_angle_alpha 109.47
_cell_angle_beta 109.47
_cell_angle_gamma 109.47
loop_
_atom_site_label
_atom_site_type_symbol
_atom_site_fract_x
_atom_site_fract_y
_atom_site_fract_z
Ba1 Ba 0.036 0.213 0.125
Ba2 Ba 0.036 0.323 0.911
Ba3 Ba 0.088 0.713 0.677
Ba4 Ba 0.088 0.875 0.411
Ba5 Ba 0.089 0.625 0.412
Ba6 Ba 0.089 0.964 0.677
Ba7 Ba 0.125 0.036 0.213
Ba8 Ba 0.125 0.589 0.912
Ba9 Ba 0.177 0.213 0.588
Ba10 Ba 0.177 0.464 0.589
Ba11 Ba 0.213 0.125 0.036
Ba12 Ba 0.213 0.588 0.177
Ba13 Ba 0.287 0.323 0.912
Ba14 Ba 0.287 0.464 0.375
Ba15 Ba 0.323 0.911 0.036
Ba16 Ba 0.323 0.912 0.287
Ba17 Ba 0.375 0.287 0.464
Ba18 Ba 0.375 0.588 0.911
Ba19 Ba 0.411 0.088 0.875
Ba20 Ba 0.411 0.823 0.536
Ba21 Ba 0.412 0.089 0.625
Ba22 Ba 0.412 0.823 0.787
Ba23 Ba 0.464 0.375 0.287
Ba24 Ba 0.464 0.589 0.177
Ba25 Ba 0.536 0.411 0.823
Ba26 Ba 0.536 0.625 0.713
Ba27 Ba 0.588 0.177 0.213
Ba28 Ba 0.588 0.911 0.375
Ba29 Ba 0.589 0.177 0.464
Ba30 Ba 0.589 0.912 0.125
Ba31 Ba 0.625 0.412 0.089
Ba32 Ba 0.625 0.713 0.536
Ba33 Ba 0.677 0.088 0.713
Ba34 Ba 0.677 0.089 0.964
Ba35 Ba 0.713 0.536 0.625
Ba36 Ba 0.713 0.677 0.088
Ba37 Ba 0.787 0.412 0.823
Ba38 Ba 0.787 0.875 0.964
Ba39 Ba 0.823 0.536 0.411
Ba40 Ba 0.823 0.787 0.412
Ba41 Ba 0.875 0.411 0.088
Ba42 Ba 0.875 0.964 0.787
Ba43 Ba 0.911 0.036 0.323
Ba44 Ba 0.911 0.375 0.588
Ba45 Ba 0.912 0.125 0.589
Ba46 Ba 0.912 0.287 0.323
Ba47 Ba 0.964 0.677 0.089
Ba48 Ba 0.964 0.787 0.875
H1 H 0.125 0.250 0.375
H2 H 0.125 0.375 0.750
H3 H 0.250 0.375 0.125
H4 H 0.250 0.875 0.625
H5 H 0.375 0.125 0.250
H6 H 0.375 0.750 0.125
H7 H 0.625 0.250 0.875
H8 H 0.625 0.875 0.750
H9 H 0.750 0.125 0.375
H10 H 0.750 0.625 0.875
H11 H 0.875 0.625 0.250
H12 H 0.875 0.750 0.625
Rh1 Rh 0.000 0.000 0.000
Rh2 Rh 0.000 0.000 0.500
Rh3 Rh 0.000 0.500 0.000
Rh4 Rh 0.000 0.500 0.500
Rh5 Rh 0.125 0.750 0.875
Rh6 Rh 0.125 0.875 0.250
Rh7 Rh 0.250 0.125 0.875
Rh8 Rh 0.250 0.625 0.375
Rh9 Rh 0.375 0.250 0.625
Rh10 Rh 0.375 0.625 0.750
Rh11 Rh 0.500 0.000 0.000
Rh12 Rh 0.500 0.000 0.500
Rh13 Rh 0.500 0.500 0.000
Rh14 Rh 0.500 0.500 0.500
Rh15 Rh 0.625 0.375 0.250
Rh16 Rh 0.625 0.750 0.375
Rh17 Rh 0.750 0.375 0.625
Rh18 Rh 0.750 0.875 0.125
Rh19 Rh 0.875 0.125 0.750
Rh20 Rh 0.875 0.250 0.125
```

Output
Volume ... 39.519 Å³/atom
DFT total energy ... -3.454 eV per atom